Density functional theory data (GGA-PBE) for NaCa3Hf after structural relaxation.

```
data_NaCa3Hf
_symmetry_space_group_name_H-M 'P m -3 m'
_symmetry_Int_Tables_number 221
_symmetry_space_group_name_Hall '-P 4 2 3'
_cell_length_a 6.1753
_cell_length_b 6.1753
_cell_length_c 6.1753
_cell_angle_alpha 90.00
_cell_angle_beta 90.00
_cell_angle_gamma 90.00
loop_
_atom_site_label
_atom_site_type_symbol
_atom_site_fract_x
_atom_site_fract_y
_atom_site_fract_z
Na1 Na 0.0000 0.0000 0.0000
Ca1 Ca 0.0000 0.5000 0.5000
Hf1 Hf 0.5000 0.5000 0.5000
```

Computed properties:
For the energy relative to the lowest polymorph listed for this composition, the calculation gives 0 meV/atom. As for the calculated formation energy: 825.3 meV per atom. As for the density of states at the Fermi level: 2.78 states/eV per cell.

Density functional theory data (GGA-PBE) for Na2CaHf after structural relaxation.

```
data_Na2CaHf
_symmetry_space_group_name_H-M 'I -4 2 d'
_symmetry_Int_Tables_number 122
_symmetry_space_group_name_Hall 'I -4 2bw'
_cell_length_a 8.7796
_cell_length_b 8.7796
_cell_length_c 6.4941
_cell_angle_alpha 90.00
_cell_angle_beta 90.00
_cell_angle_gamma 90.00
loop_
_atom_site_label
_atom_site_type_symbol
_atom_site_fract_x
_atom_site_fract_y
_atom_site_fract_z
Na1 Na 0.2466 0.2500 0.1250
Ca1 Ca 0.0000 0.0000 0.5000
Hf1 Hf 0.0000 0.0000 0.0000
```

Computed properties:
For the energy relative to the lowest polymorph listed for this composition, the calculation gives 172 meV/atom. As for the calculated formation energy: 954.1 meV per atom. As for the density of states at the Fermi level: 22.29 states/eV per cell.

no.,V (Å³/atom),ρ (g/cm3)
1,47.10,2.3
2,31.29,3.5